Entry 1:
Compound: RbScGa2
Source: the Alexandria database
Functional: GGA-PBE
Structure: optimized geometry

Computed properties:
The value obtained for the formation energy is 0.9 eV/f.u. The final energy comes out at -3.108 eV/atom. As for the energy relative to the lowest polymorph listed for this composition: 0.00 kcal/mol of atoms. As for the symmetry: No. 225.

Cell: 7.483 7.483 7.483 Å, 90.00 90.00 90.00°
Fractional coordinates of all 16 atoms:
1 Rb 0.000 0.000 0.000
2 Rb 0.000 0.500 0.500
3 Rb 0.500 0.000 0.500
4 Rb 0.500 0.500 0.000
5 Sc 0.000 0.000 0.500
6 Sc 0.000 0.500 0.000
7 Sc 0.500 0.000 0.000
8 Sc 0.500 0.500 0.500
9 Ga 0.250 0.250 0.250
10 Ga 0.250 0.250 0.750
11 Ga 0.250 0.750 0.250
12 Ga 0.250 0.750 0.750
13 Ga 0.750 0.250 0.250
14 Ga 0.750 0.250 0.750
15 Ga 0.750 0.750 0.250
16 Ga 0.750 0.750 0.750

Entry 2:
Compound: SrTa2P
Source: the Alexandria database
Functional: GGA-PBE
Structure: optimized geometry

Computed properties:
The value obtained for the formation energy is -0.1 eV/f.u. The final energy comes out at -7.732 eV/atom. As for the symmetry: No. 99.

Cell: 3.386 3.386 7.623 Å, 90.00 90.00 90.00°
Fractional coordinates of all 4 atoms:
1 Sr 0.000 0.000 0.000
2 Ta 0.000 0.000 0.552
3 Ta 0.500 0.500 0.354
4 P 0.500 0.500 0.707

Entry 3:
Compound: GdCdIn
Source: the Alexandria database
Functional: GGA-PBE
Structure: optimized geometry

Computed properties:
The value obtained for the formation energy is -0.9 eV/f.u. The final energy comes out at -6.197 eV/atom. As for the symmetry: No. 216.

Cell: 6.955 6.955 6.955 Å, 90.00 90.00 90.00°
Fractional coordinates of all 12 atoms:
1 Gd 0.000 0.000 0.000
2 Gd 0.000 0.500 0.500
3 Gd 0.500 0.000 0.500
4 Gd 0.500 0.500 0.000
5 Cd 0.250 0.250 0.250
6 Cd 0.250 0.750 0.750
7 Cd 0.750 0.250 0.750
8 Cd 0.750 0.750 0.250
9 In 0.000 0.000 0.500
10 In 0.000 0.500 0.000
11 In 0.500 0.000 0.000
12 In 0.500 0.500 0.500

Entry 4:
Compound: Li2SiSbTe4
Source: the Alexandria database
Functional: GGA-PBE
Structure: optimized geometry

Computed properties:
The final energy comes out at -3.586 eV/atom. As for the uncorrected formation energy: -265 kJ/mol of formula units. As for the symmetry: No. 42.

Cell: 7.555 7.345 6.773 Å, 64.56 61.39 54.05°
Fractional coordinates of all 8 atoms:
1 Li 0.000 0.000 0.500
2 Li 0.500 0.500 0.000
3 Si 0.253 0.253 0.747
4 Sb 0.742 0.742 0.258
5 Te 0.157 0.611 0.843
6 Te 0.349 0.916 0.084
7 Te 0.611 0.157 0.389
8 Te 0.916 0.349 0.651

Entry 5:
Compound: SrBi2B2O7
Source: the Alexandria database
Functional: GGA-PBE
Structure: optimized geometry

Computed properties:
The final energy comes out at -6.884 eV/atom. As for the uncorrected formation energy: -2422 kJ/mol of formula units. As for the symmetry: No. 176.

Cell: 9.230 9.230 13.095 Å, 90.00 90.00 120.00°
Fractional coordinates of all 72 atoms:
1 Sr 0.049 0.370 0.250
2 Sr 0.321 0.951 0.250
3 Sr 0.370 0.321 0.750
4 Sr 0.630 0.679 0.250
5 Sr 0.679 0.049 0.750
6 Sr 0.951 0.630 0.750
7 Bi 0.032 0.351 0.590
8 Bi 0.032 0.351 0.910
9 Bi 0.318 0.968 0.590
10 Bi 0.318 0.968 0.910
11 Bi 0.351 0.318 0.090
12 Bi 0.351 0.318 0.410
13 Bi 0.649 0.682 0.590
14 Bi 0.649 0.682 0.910
15 Bi 0.682 0.032 0.090
16 Bi 0.682 0.032 0.410
17 Bi 0.968 0.649 0.090
18 Bi 0.968 0.649 0.410
19 B 0.000 0.000 0.116
20 B 0.000 0.000 0.384
21 B 0.000 0.000 0.616
22 B 0.000 0.000 0.884
23 B 0.333 0.667 0.079
24 B 0.333 0.667 0.421
25 B 0.333 0.667 0.635
26 B 0.333 0.667 0.865
27 B 0.667 0.333 0.135
28 B 0.667 0.333 0.365
29 B 0.667 0.333 0.579
30 B 0.667 0.333 0.921
31 O 0.040 0.874 0.616
32 O 0.040 0.874 0.884
33 O 0.041 0.659 0.250
34 O 0.126 0.166 0.616
35 O 0.126 0.166 0.884
36 O 0.166 0.040 0.116
37 O 0.166 0.040 0.384
38 O 0.181 0.516 0.080
39 O 0.181 0.516 0.420
40 O 0.200 0.694 0.633
41 O 0.200 0.694 0.867
42 O 0.306 0.506 0.633
43 O 0.306 0.506 0.867
44 O 0.335 0.819 0.080
45 O 0.335 0.819 0.420
46 O 0.341 0.382 0.250
47 O 0.382 0.041 0.750
48 O 0.484 0.665 0.080
49 O 0.484 0.665 0.420
50 O 0.494 0.800 0.633
51 O 0.494 0.800 0.867
52 O 0.506 0.200 0.133
53 O 0.506 0.200 0.367
54 O 0.516 0.335 0.580
55 O 0.516 0.335 0.920
56 O 0.618 0.959 0.250
57 O 0.659 0.618 0.750
58 O 0.665 0.181 0.580
59 O 0.665 0.181 0.920
60 O 0.694 0.494 0.133
61 O 0.694 0.494 0.367
62 O 0.800 0.306 0.133
63 O 0.800 0.306 0.367
64 O 0.819 0.484 0.580
65 O 0.819 0.484 0.920
66 O 0.834 0.960 0.616
67 O 0.834 0.960 0.884
68 O 0.874 0.834 0.116
69 O 0.874 0.834 0.384
70 O 0.959 0.341 0.750
71 O 0.960 0.126 0.116
72 O 0.960 0.126 0.384

Entry 6:
Compound: CaMoPAu2
Source: the Alexandria database
Functional: GGA-PBE
Structure: optimized geometry

Computed properties:
The value obtained for the formation energy is 8.7 eV/f.u. The final energy comes out at -3.218 eV/atom. As for the symmetry: No. 123.

Cell: 5.181 5.181 6.081 Å, 90.00 90.00 90.00°
Fractional coordinates of all 5 atoms:
1 Ca 0.000 0.000 0.000
2 Mo 0.000 0.000 0.500
3 P 0.500 0.500 0.500
4 Au 0.000 0.500 0.000
5 Au 0.500 0.000 0.000

Entry 7:
Compound: FeSI2N
Source: the Alexandria database
Functional: GGA-PBE
Structure: optimized geometry

Computed properties:
The final energy comes out at -3.638 eV/atom. As for the uncorrected formation energy: 562 kJ/mol of formula units. As for the energy relative to the lowest polymorph listed for this composition: 11.20 kcal/mol of atoms. As for the symmetry: No. 123.

Cell: 5.876 5.876 3.396 Å, 90.00 90.00 90.00°
Fractional coordinates of all 5 atoms:
1 Fe 0.000 0.000 0.000
2 S 0.500 0.500 0.500
3 I 0.000 0.500 0.500
4 I 0.500 0.000 0.500
5 N 0.500 0.500 0.000

Entry 8:
Compound: LaO
Source: the Alexandria database
Functional: GGA-PBE
Structure: optimized geometry

Computed properties:
The final energy comes out at -7.612 eV/atom. As for the uncorrected formation energy: -515 kJ/mol of formula units. As for the symmetry: No. 223.

Cell: 6.799 6.799 6.799 Å, 90.00 90.00 90.00°
Fractional coordinates of all 12 atoms:
1 La 0.000 0.250 0.500
2 La 0.000 0.750 0.500
3 La 0.250 0.500 0.000
4 La 0.500 0.000 0.250
5 La 0.500 0.000 0.750
6 La 0.750 0.500 0.000
7 O 0.000 0.500 0.250
8 O 0.000 0.500 0.750
9 O 0.250 0.000 0.500
10 O 0.500 0.250 0.000
11 O 0.500 0.750 0.000
12 O 0.750 0.000 0.500

Entry 9:
Compound: NaAgAs3
Source: the Alexandria database
Functional: GGA-PBE
Structure: optimized geometry

Computed properties:
The value obtained for the formation energy is 2.7 eV/f.u. The final energy comes out at -3.088 eV/atom. As for the energy relative to the lowest polymorph listed for this composition: 0.00 kcal/mol of atoms. As for the symmetry: No. 221.

Cell: 5.106 5.106 5.106 Å, 90.00 90.00 90.00°
Fractional coordinates of all 5 atoms:
1 Na 0.000 0.000 0.000
2 Ag 0.500 0.500 0.500
3 As 0.000 0.500 0.500
4 As 0.500 0.000 0.500
5 As 0.500 0.500 0.000

Entry 10:
Compound: CaTmAg6
Source: the Alexandria database
Functional: GGA-PBE
Structure: optimized geometry

Computed properties:
The value obtained for the formation energy is -1.6 eV/f.u. The final energy comes out at -3.152 eV/atom. As for the symmetry: No. 12.

Cell: 9.688 4.290 8.828 Å, 90.00 117.01 90.00°
Fractional coordinates of all 16 atoms:
1 Ca 0.000 0.000 0.000
2 Ca 0.500 0.500 0.000
3 Tm 0.000 0.000 0.500
4 Tm 0.500 0.500 0.500
5 Ag 0.002 0.500 0.745
6 Ag 0.245 0.000 0.869
7 Ag 0.250 0.000 0.378
8 Ag 0.250 0.500 0.622
9 Ag 0.255 0.500 0.131
10 Ag 0.498 0.000 0.255
11 Ag 0.502 0.000 0.745
12 Ag 0.745 0.500 0.869
13 Ag 0.750 0.000 0.622
14 Ag 0.750 0.500 0.378
15 Ag 0.755 0.000 0.131
16 Ag 0.998 0.500 0.255

Entry 11:
Compound: MgHgPO2
Source: the Alexandria database
Functional: GGA-PBE
Structure: optimized geometry

Computed properties:
The final energy comes out at -3.661 eV/atom. As for the uncorrected formation energy: -105 kJ/mol of formula units. As for the energy relative to the lowest polymorph listed for this composition: 0.00 kcal/mol of atoms. As for the symmetry: No. 123.

Cell: 3.868 3.868 5.763 Å, 90.00 90.00 90.00°
Fractional coordinates of all 5 atoms:
1 Mg 0.000 0.000 0.000
2 Hg 0.500 0.500 0.500
3 P 0.000 0.000 0.500
4 O 0.000 0.500 0.000
5 O 0.500 0.000 0.000

Entry 12:
Compound: HgI2Br2
Source: the Alexandria database
Functional: GGA-PBE
Structure: optimized geometry

Computed properties:
The final energy comes out at -1.566 eV/atom. As for the uncorrected formation energy: -104 kJ/mol of formula units. As for the energy relative to the lowest polymorph listed for this composition: 0.00 kcal/mol of atoms. As for the symmetry: No. 15.

Cell: 7.527 7.527 9.000 Å, 91.76 91.76 60.84°
Fractional coordinates of all 10 atoms:
1 Hg 0.068 0.932 0.750
2 Hg 0.932 0.068 0.250
3 I 0.294 0.586 0.468
4 I 0.414 0.706 0.032
5 I 0.586 0.294 0.968
6 I 0.706 0.414 0.532
7 Br 0.155 0.186 0.139
8 Br 0.186 0.155 0.639
9 Br 0.814 0.845 0.361
10 Br 0.845 0.814 0.861